Run i
Mn2TcPt | PBE | optimized geometry

Calculated values
SG: C2/m, No. 12

```
Mn2TcPt
1.0
8.6449 0.0000 0.0000
0.0000 2.7350 0.0000
-0.8113 0.0000 4.8028
Mn Tc Pt
4 2 2
Cartesian
1.9631 0.0000 1.1539
1.5481 1.3675 3.6489
5.8706 0.0000 3.6489
6.2855 1.3675 1.1539
0.0000 1.3675 0.0000
4.3225 0.0000 0.0000
-0.4056 0.0000 2.4014
3.9168 1.3675 2.4014
```

---

Run ii
Mn2TcPt | PBE | optimized geometry

Calculated values
SG: P4/mmm, No. 123

```
Mn2TcPt
1.0
3.0923 0.0000 0.0000
0.0000 3.0923 0.0000
0.0000 0.0000 5.9841
Mn Tc Pt
2 1 1
Cartesian
0.0000 0.0000 1.4627
0.0000 0.0000 4.5214
1.5461 1.5461 0.0000
1.5461 1.5461 2.9921
```

---

Run iii
Mn2TcPt | PBE | optimized geometry

Calculated values
SG: R-3m, No. 166

```
Mn2TcPt
1.0
2.7890 0.0000 0.0000
-1.3945 2.4154 0.0000
0.0000 0.0000 25.4309
Mn Tc Pt
6 3 3
Cartesian
0.0000 0.0000 6.2855
0.0000 0.0000 19.1455
0.0000 1.6102 10.6685
0.0000 1.6102 23.2394
1.3945 0.8051 2.1915
1.3945 0.8051 14.7624
0.0000 0.0000 12.7155
0.0000 1.6102 4.2385
1.3945 0.8051 21.1924
0.0000 0.0000 0.0000
0.0000 1.6102 16.9539
1.3945 0.8051 8.4770
```

---

It is run iii that is the least stable of them.

---

Run i
Mn2TcPt | PBE | optimized geometry

Calculated values
SG: Cmmm, No. 65

```
Mn2TcPt
1.0
5.4050 0.0000 0.0000
0.0000 7.4116 0.0000
0.0000 0.0000 2.6589
Mn Tc Pt
4 2 2
Cartesian
1.3512 1.8529 0.0000
1.3512 5.5587 0.0000
4.0537 1.8529 0.0000
4.0537 5.5587 0.0000
0.0000 0.0000 1.3294
2.7025 3.7058 1.3294
0.0000 3.7058 1.3294
2.7025 0.0000 1.3294
```

---

Run ii
Mn2TcPt | PBE | optimized geometry

Calculated values
SG: Pmm2, No. 25

```
Mn2TcPt
1.0
2.6754 0.0000 0.0000
0.0000 3.8082 0.0000
0.0000 0.0000 5.3549
Mn Tc Pt
2 1 1
Cartesian
0.0000 0.0000 0.0000
1.3377 1.9041 1.2678
0.0000 0.0000 2.5231
1.3377 1.9041 3.9852
```

---

It is run i that is the least stable of them.

---

Run i
Mn2TcPt | PBE | optimized geometry

Calculated values
SG: I-4m2, No. 119

```
Mn2TcPt
1.0
3.7359 0.0000 0.0000
0.0000 3.7359 0.0000
0.0000 0.0000 7.9729
Mn Tc Pt
4 2 2
Cartesian
0.0000 0.0000 0.0000
0.0000 1.8680 1.9932
1.8680 0.0000 5.9797
1.8680 1.8680 3.9864
0.0000 1.8680 5.9797
1.8680 0.0000 1.9932
0.0000 0.0000 3.9864
1.8680 1.8680 0.0000
```

---

Run ii
Mn2TcPt | PBE | optimized geometry

Calculated values
SG: Fm-3m, No. 225

```
Mn2TcPt
1.0
5.9408 0.0000 0.0000
0.0000 5.9408 0.0000
0.0000 0.0000 5.9408
Mn Tc Pt
8 4 4
Cartesian
1.4852 1.4852 1.4852
1.4852 1.4852 4.4556
1.4852 4.4556 1.4852
1.4852 4.4556 4.4556
4.4556 1.4852 1.4852
4.4556 1.4852 4.4556
4.4556 4.4556 1.4852
4.4556 4.4556 4.4556
0.0000 0.0000 0.0000
0.0000 2.9704 2.9704
2.9704 0.0000 2.9704
2.9704 2.9704 0.0000
0.0000 0.0000 2.9704
0.0000 2.9704 0.0000
2.9704 0.0000 0.0000
2.9704 2.9704 2.9704
```

---

Run iii
Mn2TcPt | PBE | optimized geometry

Calculated values
SG: I-42d, No. 122

```
Mn2TcPt
1.0
6.7398 0.0000 0.0000
0.0000 6.7398 0.0000
0.0000 0.0000 5.4029
Mn Tc Pt
8 4 4
Cartesian
1.5997 1.6850 0.6754
1.6850 4.9696 2.0261
1.6850 5.1402 4.7276
1.7703 1.6850 3.3768
4.9696 5.0549 3.3768
5.0549 1.5997 4.7276
5.0549 1.7703 2.0261
5.1402 5.0549 0.6754
0.0000 0.0000 0.0000
0.0000 3.3699 1.3507
3.3699 0.0000 4.0522
3.3699 3.3699 2.7015
0.0000 0.0000 2.7015
0.0000 3.3699 4.0522
3.3699 0.0000 1.3507
3.3699 3.3699 0.0000
```

---

Run iv
Mn2TcPt | PBE | optimized geometry

Calculated values
SG: F-43m, No. 216

```
Mn2TcPt
1.0
6.1095 0.0000 0.0000
0.0000 6.1095 0.0000
0.0000 0.0000 6.1095
Mn Tc Pt
8 4 4
Cartesian
0.0000 0.0000 0.0000
0.0000 3.0548 3.0548
1.5274 1.5274 1.5274
1.5274 4.5822 4.5822
3.0548 0.0000 3.0548
3.0548 3.0548 0.0000
4.5822 1.5274 4.5822
4.5822 4.5822 1.5274
1.5274 1.5274 4.5822
1.5274 4.5822 1.5274
4.5822 1.5274 1.5274
4.5822 4.5822 4.5822
0.0000 0.0000 3.0548
0.0000 3.0548 0.0000
3.0548 0.0000 0.0000
3.0548 3.0548 3.0548
```

---

It is run iii that is the least stable of them.

---

Run i
Mn2TcPt | PBE | optimized geometry

Calculated values
SG: P4/mmm, No. 123

```
Mn2TcPt
1.0
3.8118 0.0000 0.0000
0.0000 3.8118 0.0000
0.0000 0.0000 3.6307
Mn Tc Pt
2 1 1
Cartesian
0.0000 1.9059 0.0000
1.9059 0.0000 0.0000
0.0000 0.0000 1.8153
1.9059 1.9059 1.8153
```

---

Run ii
Mn2TcPt | PBE | optimized geometry

Calculated values
SG: R3m, No. 160

```
Mn2TcPt
1.0
2.7173 0.0000 0.0000
-1.3587 2.3533 0.0000
0.0000 0.0000 25.7570
Mn Tc Pt
6 3 3
Cartesian
0.0000 0.0000 0.0000
0.0000 0.0000 6.5735
0.0000 1.5688 17.1713
0.0000 1.5688 23.7448
1.3587 0.7844 8.5856
1.3587 0.7844 15.1591
0.0000 0.0000 13.1983
0.0000 1.5688 4.6126
1.3587 0.7844 21.7839
0.0000 0.0000 19.3778
0.0000 1.5688 10.7921
1.3587 0.7844 2.2064
```

---

Run iii
Mn2TcPt | PBE | optimized geometry

Calculated values
SG: Cm, No. 8

```
Mn2TcPt
1.0
9.1476 0.0000 0.0000
0.0000 2.7435 0.0000
-0.7999 0.0000 4.4848
Mn Tc Pt
4 2 2
Cartesian
0.0000 0.0000 0.0000
1.6569 0.0000 3.2910
4.5738 1.3717 0.0000
6.2307 1.3717 3.2910
2.0968 1.3717 1.0060
6.6706 0.0000 1.0060
4.1487 0.0000 2.2328
8.7225 1.3717 2.2328
```

---

It is run ii that is the least stable of them.

---

Run i
Mn2TcPt | PBE | optimized geometry

Calculated values
SG: P4mm, No. 99

```
Mn2TcPt
1.0
2.6799 0.0000 0.0000
0.0000 2.6799 0.0000
0.0000 0.0000 7.4970
Mn Tc Pt
2 1 1
Cartesian
0.0000 0.0000 0.0000
1.3400 1.3400 1.6808
1.3400 1.3400 5.7188
0.0000 0.0000 3.6434
```

---

Run ii
Mn2TcPt | PBE | optimized geometry

Calculated values
SG: P2/m, No. 10

```
Mn2TcPt
1.0
2.6734 0.0000 0.0000
0.0000 4.2654 0.0000
-0.4909 0.0000 5.0178
Mn Tc Pt
2 1 1
Cartesian
0.4996 0.0000 1.3192
1.6829 0.0000 3.6986
-0.2454 2.1327 2.5089
1.3367 2.1327 0.0000
```

---

It is run ii that is the least stable of them.

---

Run i
MnTcPt | PBE | optimized geometry

Calculated values
SG: I4mm, No. 107

```
MnTcPt
1.0
3.1617 0.0000 0.0000
0.0000 3.1617 0.0000
0.0000 0.0000 8.6866
Mn Tc Pt
2 2 2
Cartesian
0.0000 0.0000 0.0000
1.5808 1.5808 4.3433
0.0000 0.0000 5.6253
1.5808 1.5808 1.2820
0.0000 0.0000 2.9149
1.5808 1.5808 7.2582
```

---

Run ii
MnTcPt | PBE | optimized geometry

Calculated values
SG: F-43m, No. 216

```
MnTcPt
1.0
5.7727 0.0000 0.0000
0.0000 5.7727 0.0000
0.0000 0.0000 5.7727
Mn Tc Pt
4 4 4
Cartesian
0.0000 0.0000 0.0000
0.0000 2.8863 2.8863
2.8863 0.0000 2.8863
2.8863 2.8863 0.0000
1.4432 1.4432 4.3295
1.4432 4.3295 1.4432
4.3295 1.4432 1.4432
4.3295 4.3295 4.3295
1.4432 1.4432 1.4432
1.4432 4.3295 4.3295
4.3295 1.4432 4.3295
4.3295 4.3295 1.4432
```

---

It is run ii that is the least stable of them.